1.
{
  "formula": "ScZnFeBi",
  "functional": "GGA-PBE",
  "state": "relaxed",
  "lattice_angstrom": [[0.0000, 3.3599, 3.3599], [3.3599, 0.0000, 3.3599], [3.3599, 3.3599, 0.0000]],
  "species": ["Sc", "Zn", "Fe", "Bi"],
  "fractional_positions": [[0.0000, 0.0000, 0.0000], [0.7500, 0.7500, 0.7500], [0.2500, 0.2500, 0.2500], [0.5000, 0.5000, 0.5000]],
  "sg": "F-43m (216)",
  "polymorph_energy_ev_per_atom": 0.017
}


2.
{
  "formula": "SmNbZn",
  "functional": "GGA-PBE",
  "state": "relaxed",
  "lattice_angstrom": [[0.0000, 3.4083, 3.4083], [3.4083, 0.0000, 3.4083], [3.4083, 3.4083, 0.0000]],
  "species": ["Sm", "Nb", "Zn"],
  "fractional_positions": [[0.0000, 0.0000, 0.0000], [0.7500, 0.7500, 0.7500], [0.2500, 0.2500, 0.2500]],
  "delta_e_f_mev_per_atom": 1145,
  "sg": "F-43m (216)",
  "polymorph_energy_ev_per_atom": 0.627
}


3.
{
  "formula": "LaTbSi2Mo2C",
  "functional": "GGA-PBE",
  "state": "relaxed",
  "lattice_angstrom": [[5.6310, -1.9550, 0.0000], [5.6310, 1.9550, 0.0000], [-4.3139, 0.0000, 5.9288]],
  "species": ["La", "Tb", "Si", "Si", "Mo", "Mo", "C"],
  "fractional_positions": [[0.0000, 0.0000, 0.0000], [0.1510, 0.1510, 0.5970], [0.4439, 0.4439, 0.6276], [0.7108, 0.7108, 0.9726], [0.3731, 0.3731, 0.2236], [0.7839, 0.7839, 0.3844], [0.5811, 0.5811, 0.3141]],
  "sg": "Cm (8)"
}


4.
{
  "formula": "Sc2ZnPd",
  "functional": "GGA-PBE",
  "state": "relaxed",
  "lattice_angstrom": [[3.3421, 0.0000, 0.0000], [0.0000, 3.3421, 0.0000], [0.0000, 0.0000, 6.6017]],
  "species": ["Sc", "Sc", "Zn", "Pd"],
  "fractional_positions": [[0.0000, 0.0000, 0.2459], [0.0000, 0.0000, 0.7541], [0.5000, 0.5000, 0.5000], [0.5000, 0.5000, 0.0000]],
  "delta_e_f_mev_per_atom": -652,
  "sg": "P4/mmm (123)"
}


5.
{
  "formula": "LiTa3Te5",
  "functional": "GGA-PBE",
  "state": "relaxed",
  "lattice_angstrom": [[5.9530, 0.0000, 0.0000], [-2.9765, 5.1555, 0.0000], [0.0000, 0.0000, 8.4031]],
  "species": ["Li", "Ta", "Ta", "Ta", "Te", "Te", "Te", "Te", "Te"],
  "fractional_positions": [[0.0000, 0.0000, 0.0000], [0.0000, 0.5000, 0.5000], [0.5000, 0.0000, 0.5000], [0.5000, 0.5000, 0.5000], [0.0000, 0.0000, 0.5000], [0.3333, 0.6667, 0.2295], [0.3333, 0.6667, 0.7705], [0.6667, 0.3333, 0.2295], [0.6667, 0.3333, 0.7705]],
  "sg": "P6/mmm (191)"
}


6.
{
  "formula": "TbYI6",
  "functional": "GGA-PBE",
  "state": "relaxed",
  "lattice_angstrom": [[3.8428, -6.6598, 0.0000], [3.8428, 6.6598, 0.0000], [-2.5094, 0.0000, 7.3674]],
  "species": ["Tb", "Y", "I", "I", "I", "I", "I", "I"],
  "fractional_positions": [[0.0000, 0.0000, 0.0000], [0.6675, 0.3325, 0.0000], [0.0562, 0.3893, 0.2433], [0.2572, 0.2364, 0.7611], [0.4115, 0.0966, 0.2388], [0.6107, 0.9438, 0.7567], [0.7636, 0.7428, 0.2389], [0.9034, 0.5885, 0.7612]],
  "sg": "C2 (5)"
}


7.
{
  "formula": "Pr2GdSi2",
  "functional": "GGA-PBE",
  "state": "relaxed",
  "lattice_angstrom": [[7.6963, 0.0000, 0.0000], [0.0000, 7.6963, 0.0000], [0.0000, 0.0000, 4.4212]],
  "species": ["Pr", "Pr", "Pr", "Pr", "Gd", "Gd", "Si", "Si", "Si", "Si"],
  "fractional_positions": [[0.1774, 0.3226, 0.0000], [0.3226, 0.8226, 0.0000], [0.6774, 0.1774, 0.0000], [0.8226, 0.6774, 0.0000], [0.0000, 0.0000, 0.5000], [0.5000, 0.5000, 0.5000], [0.1129, 0.6129, 0.5000], [0.3871, 0.1129, 0.5000], [0.6129, 0.8871, 0.5000], [0.8871, 0.3871, 0.5000]],
  "sg": "P4/mbm (127)"
}


8.
{
  "formula": "PaMoPb",
  "functional": "GGA-PBE",
  "state": "relaxed",
  "lattice_angstrom": [[0.0000, 3.4622, 3.4622], [3.4622, 0.0000, 3.4622], [3.4622, 3.4622, 0.0000]],
  "species": ["Pa", "Mo", "Pb"],
  "fractional_positions": [[0.0000, 0.0000, 0.0000], [0.7500, 0.7500, 0.7500], [0.2500, 0.2500, 0.2500]],
  "sg": "F-43m (216)",
  "polymorph_energy_ev_per_atom": 0.734
}


9.
{
  "formula": "PuHfIn",
  "functional": "GGA-PBE",
  "state": "relaxed",
  "lattice_angstrom": [[0.0000, 3.4613, 3.4613], [3.4613, 0.0000, 3.4613], [3.4613, 3.4613, 0.0000]],
  "species": ["Pu", "Hf", "In"],
  "fractional_positions": [[0.0000, 0.0000, 0.0000], [0.5000, 0.5000, 0.5000], [0.7500, 0.7500, 0.7500]],
  "sg": "F-43m (216)",
  "polymorph_energy_ev_per_atom": 0.000
}


no.,E_tot (eV/atom)
1,-4.862
2,-4.212
3,-7.872
4,-5.426
5,-6.070
6,-3.962
7,-5.672
8,-6.781
9,-8.479